First-principles (GGA-PBE) data for BaLa2YPt after structural relaxation, as listed in Alexandria.

Cell and atoms, written as extended XYZ:
```
5
Lattice="5.8112 0.0000 0.0000 0.0000 5.8112 0.0000 0.0000 0.0000 5.7610" Properties=species:S:1:pos:R:3 pbc="T T T"
Ba 0.0000 0.0000 0.0000
La 0.0000 2.9056 2.8805
La 2.9056 0.0000 2.8805
Y 2.9056 2.9056 0.0000
Pt 2.9056 2.9056 2.8805
```

Values from the calculation:
energy of formation: -1.933 eV per formula unit
Fermi-level density of states: 1.67 states/eV per atom
energy above the most stable polymorph in this dataset: 0 meV per atom
volume: 38.910 A^3/atom
total energy: -26.22 eV per formula unit